First-principles (meta-GGA SCAN) data for a PBEsol-optimized structure of Li2VFeP4O14, as listed in Alexandria.

```
Li2VFeP4O14
1.0
-4.5123 -4.4461 2.8997
5.1820 -6.0868 -1.2690
5.7985 3.4916 6.9308
Li V Fe P O
4 2 2 8 28
Cartesian
8.2102 -3.5341 6.2979
2.2334 -3.1600 5.6003
5.3933 -5.2421 2.6776
-0.6457 -4.7950 1.9952
5.4019 -7.1917 5.0157
3.6398 -2.8725 2.9157
6.5573 -1.1081 6.2966
2.4984 -8.9725 1.6313
3.3885 -0.4165 6.6767
5.1214 -5.7608 7.8171
4.6001 0.0327 4.0744
5.2160 -4.0268 5.5092
0.5267 -2.1623 3.2300
2.1987 -7.4624 4.4062
1.7502 -1.7543 0.6456
2.3272 -5.7410 2.0691
6.7120 0.7692 6.7718
8.4908 -1.6028 5.8740
3.0709 0.6335 7.7252
4.6181 -1.2539 7.0089
6.3696 -3.1026 5.8332
5.9613 -0.5034 4.4855
3.7214 0.4508 5.3566
4.5701 -4.5606 6.8775
5.4079 -6.9820 6.9203
2.1947 -1.3249 6.3084
5.6757 -5.2513 4.7050
4.0261 -3.3436 4.8196
3.7759 -1.0090 3.3136
5.5905 -3.1786 2.5340
0.2397 -3.1133 6.1838
3.5031 -6.9847 5.0494
0.2217 -1.0897 4.2857
1.7844 -2.9551 3.6137
3.4910 -4.7973 2.4448
3.0544 -2.4018 1.1529
0.8824 -1.2877 1.9328
1.6971 -6.2591 3.4620
2.3871 -8.7464 3.6156
-0.6362 -3.0756 2.9083
2.8452 -6.9564 1.3090
1.1629 -5.0503 1.3835
-2.4708 -4.9120 2.7974
0.5674 -8.7634 1.5911
```

Energy relative to the elements, uncorrected ... -2.469 eV/atom
Magnetization ... 6.6 μB per formula unit
DOS(E_F) ... 12.0 states/eV/cell
Calculated total energy ... -10.16 eV per atom